Entry from Alexandria via LeMat-Bulk: a relaxed structure of MgGaFeO2 (GGA-PBEsol).

Values from the calculation:
Formation energy without anion corrections   -0.0558 eV per atom

POSCAR file:
```
MgGaFeO2
1.0
3.8433 0.0000 0.0000
0.0000 3.8433 0.0000
0.0000 0.0000 4.7253
Mg Ga Fe O
1 1 1 2
Cartesian
0.0000 0.0000 0.0000
1.9216 1.9216 2.3626
1.9216 1.9216 0.0000
0.0000 1.9216 2.3626
1.9216 0.0000 2.3626
```